A relaxed structure of RbV2F8. Source: the Alexandria database, functional PBE+U.

Unit cell a=5.973 b=5.464 c=5.464 alpha=116.62 beta=89.37 gamma=89.37
Each line ends with the local moment (μB).
Fractional coordinates of all 11 atoms:
F 0.382 0.992 0.612  -0.02
F 0.382 0.612 0.992  -0.02
F 0.691 0.664 0.664  -0.01
F 0.874 0.252 0.665  -0.03
F 0.874 0.665 0.252  -0.03
F 0.365 0.442 0.442  -0.03
F 0.620 0.289 0.022  -0.01
F 0.620 0.022 0.289  -0.01
Rb 0.053 0.036 0.036  0.00
V 0.569 0.671 0.322  1.52
V 0.569 0.322 0.671  1.52

For the uncorrected energy, the calculation gives -5.477 eV per atom.